A relaxed structure of BIr, computed with PBE-GGA.

The structure in POSCAR format:
```
BIr
1.0
5.797 0.000 0.000
0.000 5.797 0.000
0.000 0.000 5.797
B Ir
6 6
Direct
0.000 0.250 0.500 B
0.000 0.750 0.500 B
0.250 0.500 0.000 B
0.500 0.000 0.250 B
0.500 0.000 0.750 B
0.750 0.500 0.000 B
0.000 0.500 0.250 Ir
0.000 0.500 0.750 Ir
0.250 0.000 0.500 Ir
0.500 0.250 0.000 Ir
0.500 0.750 0.000 Ir
0.750 0.000 0.500 Ir
```

Computed properties:
Calculated volume: 16.230 Å³ per atom
Formation energy: 0.182 eV per atom
Total energy: -7.587 eV/atom
Calculated density: 10.39 g cm⁻³
M_tot: 0.0 μB/f.u.
Fermi-level density of states: 2.677 states/eV per cell
Crystal system: cubic
SG: Pm-3n, No. 223